The following is a DFT calculation (GGA-PBE) of crystalline SbAuBr2 at its relaxed geometry.

Calculated values
Symmetry: No. 166
Relative energy among the computed polymorphs: 2.12 eV per formula unit
Uncorrected formation energy: 21.0 kJ per mole of atoms

Unit cell a=9.0923 b=9.0923 c=9.0923 alpha=23.29 beta=23.29 gamma=23.29
Atoms (fractional coordinates):
Au (0.7500, 0.7500, 0.7500)
Br (0.4888, 0.4888, 0.4888)
Br (0.0112, 0.0112, 0.0112)
Sb (0.2500, 0.2500, 0.2500)